Computed, not measured: Cu3TeS3Cl after structural relaxation at the PBE-GGA level of DFT.

Lattice parameters (Å, degrees): 5.495 5.495 5.495 84.98 84.98 84.98
Fractional positions:
Cu1 0.192 0.192 0.616
Cu2 0.192 0.616 0.192
Cu3 0.616 0.192 0.192
Te1 0.671 0.671 0.671
S1 0.391 0.391 0.893
S2 0.391 0.893 0.391
S3 0.893 0.391 0.391
Cl1 0.985 0.985 0.985

Results
The space group is R3m. The magnetization comes out at 0.00 μB/f.u. The calculation puts the energy relative to the elements, uncorrected at -1.74 eV/f.u.